No. 1
# CaSm2Ag3 (GGA-PBE, optimized geometry)
data_CaSm2Ag3
_cell_length_a 5.2368
_cell_length_b 5.2368
_cell_length_c 12.8400
_cell_angle_alpha 90.00
_cell_angle_beta 90.00
_cell_angle_gamma 120.00
_symmetry_space_group_name_H-M 'P -3 m 1'
_symmetry_Int_Tables_number 164
_symmetry_space_group_name_Hall '-P 3 2"'
loop_
_atom_site_label
_atom_site_type_symbol
_atom_site_fract_x
_atom_site_fract_y
_atom_site_fract_z
Ca1 Ca 0.3333 0.6667 0.1665
Sm1 Sm 0.0000 0.0000 0.0000
Sm2 Sm 0.0000 0.0000 0.5000
Sm3 Sm 0.3333 0.6667 0.6684
Ag1 Ag 0.0000 0.0000 0.2514
Ag2 Ag 0.3333 0.6667 0.4215
Ag3 Ag 0.3333 0.6667 0.9180
# - formation enthalpy at 0 K (eV/atom) = -0.295

No. 2
# Ac3ThPd12 (GGA-PBE, optimized geometry)
data_Ac3ThPd12
_cell_length_a 4.291
_cell_length_b 4.291
_cell_length_c 17.151
_cell_angle_alpha 90.00
_cell_angle_beta 90.00
_cell_angle_gamma 90.00
_symmetry_space_group_name_H-M 'P 4/m m m'
_symmetry_Int_Tables_number 123
_symmetry_space_group_name_Hall '-P 4 2'
loop_
_atom_site_label
_atom_site_type_symbol
_atom_site_fract_x
_atom_site_fract_y
_atom_site_fract_z
Ac1 Ac 0.000 0.000 0.000
Ac2 Ac 0.000 0.000 0.252
Th1 Th 0.000 0.000 0.500
Pd1 Pd 0.000 0.500 0.127
Pd2 Pd 0.000 0.500 0.382
Pd3 Pd 0.500 0.500 0.000
Pd4 Pd 0.500 0.500 0.255
Pd5 Pd 0.500 0.500 0.500
# - formation enthalpy at 0 K (eV/atom) = -0.804

No. 3
# MnAl2Br (GGA-PBE, optimized geometry)
data_MnAl2Br
_cell_length_a 3.060
_cell_length_b 3.060
_cell_length_c 7.357
_cell_angle_alpha 90.00
_cell_angle_beta 90.00
_cell_angle_gamma 90.00
_symmetry_space_group_name_H-M 'P 4/m m m'
_symmetry_Int_Tables_number 123
_symmetry_space_group_name_Hall '-P 4 2'
loop_
_atom_site_label
_atom_site_type_symbol
_atom_site_fract_x
_atom_site_fract_y
_atom_site_fract_z
Mn1 Mn 0.000 0.000 0.000
Al1 Al 0.500 0.500 0.185
Br1 Br 0.000 0.000 0.500
# - energy relative to the elements, uncorrected (eV per atom) = 0.074
# - E above lowest polymorph (meV/atom) = 30

No. 4
# AlPSe (GGA-PBE, optimized geometry)
data_AlPSe
_cell_length_a 3.471
_cell_length_b 3.471
_cell_length_c 10.073
_cell_angle_alpha 90.00
_cell_angle_beta 90.00
_cell_angle_gamma 90.00
_symmetry_space_group_name_H-M 'I 4 m m'
_symmetry_Int_Tables_number 107
_symmetry_space_group_name_Hall 'I 4 -2'
loop_
_atom_site_label
_atom_site_type_symbol
_atom_site_fract_x
_atom_site_fract_y
_atom_site_fract_z
Al1 Al 0.000 0.000 0.000
P1 P 0.000 0.000 0.571
Se1 Se 0.000 0.000 0.337
# - energy relative to the elements, uncorrected (eV per atom) = 0.056

No. 5
# PmPr2OsN4 (GGA-PBE, optimized geometry)
data_PmPr2OsN4
_cell_length_a 3.501
_cell_length_b 12.115
_cell_length_c 12.289
_cell_angle_alpha 90.00
_cell_angle_beta 90.00
_cell_angle_gamma 90.00
_symmetry_space_group_name_H-M 'C m c m'
_symmetry_Int_Tables_number 63
_symmetry_space_group_name_Hall '-C 2c 2'
loop_
_atom_site_label
_atom_site_type_symbol
_atom_site_fract_x
_atom_site_fract_y
_atom_site_fract_z
Pm1 Pm 0.000 0.124 0.250
Pr1 Pr 0.000 0.368 0.041
Os1 Os 0.000 0.148 0.750
N1 N 0.000 0.000 0.000
N2 N 0.000 0.274 0.639
N3 N 0.000 0.428 0.250
# - energy relative to the elements, uncorrected (eV per atom) = -0.742

No. 6
# SrGeBr2 (GGA-PBE, optimized geometry)
data_SrGeBr2
_cell_length_a 5.248
_cell_length_b 5.248
_cell_length_c 19.317
_cell_angle_alpha 90.00
_cell_angle_beta 90.00
_cell_angle_gamma 90.00
_symmetry_space_group_name_H-M 'I -4 2 d'
_symmetry_Int_Tables_number 122
_symmetry_space_group_name_Hall 'I -4 2bw'
loop_
_atom_site_label
_atom_site_type_symbol
_atom_site_fract_x
_atom_site_fract_y
_atom_site_fract_z
Sr1 Sr 0.000 0.000 0.000
Ge1 Ge 0.000 0.000 0.500
Br1 Br 0.232 0.250 0.625
# - energy relative to the elements, uncorrected (eV per atom) = -0.754
# - E above lowest polymorph (meV/atom) = 0

No. 7
# Cs2Si2Se5 (GGA-PBE, optimized geometry)
data_Cs2Si2Se5
_cell_length_a 16.895
_cell_length_b 16.914
_cell_length_c 9.857
_cell_angle_alpha 90.00
_cell_angle_beta 99.35
_cell_angle_gamma 90.00
_symmetry_space_group_name_H-M 'C 1 2/c 1'
_symmetry_Int_Tables_number 15
_symmetry_space_group_name_Hall '-C 2yc'
loop_
_atom_site_label
_atom_site_type_symbol
_atom_site_fract_x
_atom_site_fract_y
_atom_site_fract_z
Cs1 Cs 0.126 0.083 0.111
Cs2 Cs 0.158 0.368 0.366
Si1 Si 0.064 0.202 0.612
Si2 Si 0.094 0.360 0.881
Se1 Se 0.000 0.119 0.750
Se2 Se 0.000 0.440 0.750
Se3 Se 0.031 0.279 0.025
Se4 Se 0.122 0.126 0.474
Se5 Se 0.160 0.279 0.744
Se6 Se 0.183 0.433 0.012
# - energy relative to the elements, uncorrected (eV per atom) = -0.875

No. 8
# YHg2Pd (GGA-PBE, optimized geometry)
data_YHg2Pd
_cell_length_a 4.317
_cell_length_b 4.317
_cell_length_c 4.739
_cell_angle_alpha 90.00
_cell_angle_beta 90.00
_cell_angle_gamma 90.00
_symmetry_space_group_name_H-M 'P 4/m m m'
_symmetry_Int_Tables_number 123
_symmetry_space_group_name_Hall '-P 4 2'
loop_
_atom_site_label
_atom_site_type_symbol
_atom_site_fract_x
_atom_site_fract_y
_atom_site_fract_z
Y1 Y 0.000 0.000 0.000
Hg1 Hg 0.000 0.500 0.500
Pd1 Pd 0.500 0.500 0.000
# - formation enthalpy at 0 K (eV/atom) = -0.407

No. 9
# V2GeMo2Ru5 (GGA-PBE, optimized geometry)
data_V2GeMo2Ru5
_cell_length_a 8.999
_cell_length_b 8.999
_cell_length_c 3.661
_cell_angle_alpha 90.00
_cell_angle_beta 90.00
_cell_angle_gamma 90.00
_symmetry_space_group_name_H-M 'P 4/m b m'
_symmetry_Int_Tables_number 127
_symmetry_space_group_name_Hall '-P 4 2ab'
loop_
_atom_site_label
_atom_site_type_symbol
_atom_site_fract_x
_atom_site_fract_y
_atom_site_fract_z
V1 V 0.128 0.372 0.000
Ge1 Ge 0.000 0.000 0.000
Mo1 Mo 0.174 0.674 0.000
Ru1 Ru 0.000 0.500 0.500
Ru2 Ru 0.065 0.202 0.500
# - formation enthalpy at 0 K (eV/atom) = 0.127

No. 10
# Ca8MgGa2 (GGA-PBE, optimized geometry)
data_Ca8MgGa2
_cell_length_a 5.230
_cell_length_b 8.908
_cell_length_c 15.343
_cell_angle_alpha 90.00
_cell_angle_beta 90.00
_cell_angle_gamma 90.00
_symmetry_space_group_name_H-M 'I m m m'
_symmetry_Int_Tables_number 71
_symmetry_space_group_name_Hall '-I 2 2'
loop_
_atom_site_label
_atom_site_type_symbol
_atom_site_fract_x
_atom_site_fract_y
_atom_site_fract_z
Ca1 Ca 0.000 0.000 0.144
Ca2 Ca 0.000 0.208 0.338
Ca3 Ca 0.000 0.318 0.000
Mg1 Mg 0.000 0.500 0.500
Ga1 Ga 0.000 0.500 0.195
# - formation enthalpy at 0 K (eV/atom) = -0.148

No. 11
# Sm3YAu4 (GGA-PBE, optimized geometry)
data_Sm3YAu4
_cell_length_a 5.1723
_cell_length_b 5.1723
_cell_length_c 25.4026
_cell_angle_alpha 90.00
_cell_angle_beta 90.00
_cell_angle_gamma 120.00
_symmetry_space_group_name_H-M 'R -3 m'
_symmetry_Int_Tables_number 166
_symmetry_space_group_name_Hall '-R 3 2"'
loop_
_atom_site_label
_atom_site_type_symbol
_atom_site_fract_x
_atom_site_fract_y
_atom_site_fract_z
Sm1 Sm 0.0000 0.0000 0.0000
Sm2 Sm 0.0000 0.0000 0.2497
Y1 Y 0.0000 0.0000 0.5000
Au1 Au 0.0000 0.0000 0.1266
Au2 Au 0.0000 0.0000 0.3769
# - formation enthalpy at 0 K (eV/atom) = -0.810

No. 12
# ZrCrCu (GGA-PBE, optimized geometry)
data_ZrCrCu
_cell_length_a 4.262
_cell_length_b 6.283
_cell_length_c 7.222
_cell_angle_alpha 90.00
_cell_angle_beta 90.00
_cell_angle_gamma 90.00
_symmetry_space_group_name_H-M 'I m m 2'
_symmetry_Int_Tables_number 44
_symmetry_space_group_name_Hall 'I 2 -2'
loop_
_atom_site_label
_atom_site_type_symbol
_atom_site_fract_x
_atom_site_fract_y
_atom_site_fract_z
Zr1 Zr 0.000 0.000 0.000
Zr2 Zr 0.000 0.500 0.118
Cr1 Cr 0.000 0.345 0.738
Cu1 Cu 0.000 0.203 0.408
# - E above lowest polymorph (meV/atom) = 95
# - formation enthalpy at 0 K (eV/atom) = 0.135

No. 13
# NiTeAs (GGA-PBE, optimized geometry)
data_NiTeAs
_cell_length_a 2.985
_cell_length_b 3.332
_cell_length_c 12.059
_cell_angle_alpha 90.00
_cell_angle_beta 90.00
_cell_angle_gamma 90.00
_symmetry_space_group_name_H-M 'I m m 2'
_symmetry_Int_Tables_number 44
_symmetry_space_group_name_Hall 'I 2 -2'
loop_
_atom_site_label
_atom_site_type_symbol
_atom_site_fract_x
_atom_site_fract_y
_atom_site_fract_z
Ni1 Ni 0.000 0.000 0.000
Te1 Te 0.000 0.000 0.345
As1 As 0.000 0.000 0.597
# - energy relative to the elements, uncorrected (eV per atom) = 0.125

No. 14
# PmThGaRh (GGA-PBE, optimized geometry)
data_PmThGaRh
_cell_length_a 7.241
_cell_length_b 7.241
_cell_length_c 7.241
_cell_angle_alpha 90.00
_cell_angle_beta 90.00
_cell_angle_gamma 90.00
_symmetry_space_group_name_H-M 'F -4 3 m'
_symmetry_Int_Tables_number 216
_symmetry_space_group_name_Hall 'F -4 2 3'
loop_
_atom_site_label
_atom_site_type_symbol
_atom_site_fract_x
_atom_site_fract_y
_atom_site_fract_z
Pm1 Pm 0.000 0.000 0.000
Th1 Th 0.000 0.000 0.500
Ga1 Ga 0.250 0.250 0.750
Rh1 Rh 0.250 0.250 0.250
# - E above lowest polymorph (meV/atom) = 225
# - formation enthalpy at 0 K (eV/atom) = -0.509

No. 15
# TaGeSe2 (GGA-PBE, optimized geometry)
data_TaGeSe2
_cell_length_a 3.5388
_cell_length_b 3.5388
_cell_length_c 24.9049
_cell_angle_alpha 90.00
_cell_angle_beta 90.00
_cell_angle_gamma 120.00
_symmetry_space_group_name_H-M 'R -3 m'
_symmetry_Int_Tables_number 166
_symmetry_space_group_name_Hall '-R 3 2"'
loop_
_atom_site_label
_atom_site_type_symbol
_atom_site_fract_x
_atom_site_fract_y
_atom_site_fract_z
Ta1 Ta 0.0000 0.0000 0.0000
Ge1 Ge 0.0000 0.0000 0.5000
Se1 Se 0.0000 0.0000 0.0994
# - energy relative to the elements, uncorrected (eV per atom) = 0.361

No. 16
# PtRhS (GGA-PBE, optimized geometry)
data_PtRhS
_cell_length_a 3.594
_cell_length_b 5.120
_cell_length_c 6.063
_cell_angle_alpha 111.17
_cell_angle_beta 99.91
_cell_angle_gamma 103.77
_symmetry_space_group_name_H-M 'P 1'
_symmetry_Int_Tables_number 1
_symmetry_space_group_name_Hall 'P 1'
loop_
_atom_site_label
_atom_site_type_symbol
_atom_site_fract_x
_atom_site_fract_y
_atom_site_fract_z
Pt1 Pt 0.000 0.000 0.000
Pt2 Pt 0.265 0.732 0.616
Rh1 Rh 0.603 0.589 0.233
Rh2 Rh 0.845 0.149 0.594
S1 S 0.010 0.537 0.980
S2 S 0.351 0.280 0.420
# - energy relative to the elements, uncorrected (eV per atom) = -0.106
# - E above lowest polymorph (meV/atom) = 31

No. 17
# CaIn3Ag3 (GGA-PBE, optimized geometry)
data_CaIn3Ag3
_cell_length_a 7.7232
_cell_length_b 7.7232
_cell_length_c 19.6241
_cell_angle_alpha 90.00
_cell_angle_beta 90.00
_cell_angle_gamma 120.00
_symmetry_space_group_name_H-M 'R -3 m'
_symmetry_Int_Tables_number 166
_symmetry_space_group_name_Hall '-R 3 2"'
loop_
_atom_site_label
_atom_site_type_symbol
_atom_site_fract_x
_atom_site_fract_y
_atom_site_fract_z
Ca1 Ca 0.0000 0.0000 0.0995
In1 In 0.0252 0.5126 0.1082
Ag1 Ag 0.0806 0.5403 0.3404
# - E above lowest polymorph (meV/atom) = 25
# - formation enthalpy at 0 K (eV/atom) = -0.128

No. 18
# H6Se3Cl (GGA-PBE, optimized geometry)
data_H6Se3Cl
_cell_length_a 11.2034
_cell_length_b 11.2034
_cell_length_c 4.5434
_cell_angle_alpha 90.00
_cell_angle_beta 90.00
_cell_angle_gamma 120.00
_symmetry_space_group_name_H-M 'R 3 m'
_symmetry_Int_Tables_number 160
_symmetry_space_group_name_Hall 'R 3 -2"'
loop_
_atom_site_label
_atom_site_type_symbol
_atom_site_fract_x
_atom_site_fract_y
_atom_site_fract_z
H1 H 0.0855 0.1710 0.0000
H2 H 0.1974 0.3948 0.9877
Se1 Se 0.0512 0.5256 0.4307
Cl1 Cl 0.0000 0.0000 0.3177
# - total energy (hartree per atom) = -0.1195

No. 19
# CuHgAs2 (GGA-PBE, optimized geometry)
data_CuHgAs2
_cell_length_a 2.823
_cell_length_b 5.126
_cell_length_c 10.640
_cell_angle_alpha 90.00
_cell_angle_beta 90.00
_cell_angle_gamma 90.00
_symmetry_space_group_name_H-M 'I m m m'
_symmetry_Int_Tables_number 71
_symmetry_space_group_name_Hall '-I 2 2'
loop_
_atom_site_label
_atom_site_type_symbol
_atom_site_fract_x
_atom_site_fract_y
_atom_site_fract_z
Cu1 Cu 0.000 0.000 0.000
Hg1 Hg 0.000 0.000 0.500
As1 As 0.000 0.500 0.296
# - formation enthalpy at 0 K (eV/atom) = 0.243

No. 20
# CaAlIn2F6 (GGA-PBE, optimized geometry)
data_CaAlIn2F6
_cell_length_a 6.034
_cell_length_b 6.078
_cell_length_c 8.566
_cell_angle_alpha 90.00
_cell_angle_beta 90.00
_cell_angle_gamma 90.00
_symmetry_space_group_name_H-M 'I m m m'
_symmetry_Int_Tables_number 71
_symmetry_space_group_name_Hall '-I 2 2'
loop_
_atom_site_label
_atom_site_type_symbol
_atom_site_fract_x
_atom_site_fract_y
_atom_site_fract_z
Ca1 Ca 0.000 0.000 0.000
Al1 Al 0.000 0.000 0.500
In1 In 0.000 0.500 0.251
F1 F 0.000 0.000 0.281
F2 F 0.219 0.217 0.500
# - energy relative to the elements, uncorrected (eV per atom) = -2.678

No. 21
# BaSiPO2 (GGA-PBE, optimized geometry)
data_BaSiPO2
_cell_length_a 4.033
_cell_length_b 4.033
_cell_length_c 4.589
_cell_angle_alpha 90.00
_cell_angle_beta 90.00
_cell_angle_gamma 90.00
_symmetry_space_group_name_H-M 'P 4/m m m'
_symmetry_Int_Tables_number 123
_symmetry_space_group_name_Hall '-P 4 2'
loop_
_atom_site_label
_atom_site_type_symbol
_atom_site_fract_x
_atom_site_fract_y
_atom_site_fract_z
Ba1 Ba 0.000 0.000 0.000
Si1 Si 0.500 0.500 0.500
P1 P 0.500 0.500 0.000
O1 O 0.000 0.500 0.500
# - energy relative to the elements, uncorrected (eV per atom) = -1.121
# - E above lowest polymorph (meV/atom) = 0

No. 22
# CaGa5Au3 (GGA-PBE, optimized geometry)
data_CaGa5Au3
_cell_length_a 4.114
_cell_length_b 13.377
_cell_length_c 13.390
_cell_angle_alpha 90.00
_cell_angle_beta 90.00
_cell_angle_gamma 90.00
_symmetry_space_group_name_H-M 'C m c m'
_symmetry_Int_Tables_number 63
_symmetry_space_group_name_Hall '-C 2c 2'
loop_
_atom_site_label
_atom_site_type_symbol
_atom_site_fract_x
_atom_site_fract_y
_atom_site_fract_z
Ca1 Ca 0.000 0.152 0.250
Ga1 Ga 0.000 0.000 0.000
Ga2 Ga 0.000 0.191 0.562
Ga3 Ga 0.000 0.440 0.148
Au1 Au 0.000 0.138 0.750
Au2 Au 0.000 0.381 0.570
# - formation enthalpy at 0 K (eV/atom) = -0.327

| no. | magnetization (μB per formula unit) |
| --- | --- |
| 1 | 0.00 |
| 2 | 0.00 |
| 3 | 1.13 |
| 4 | 0.00 |
| 5 | 0.00 |
| 6 | 0.00 |
| 7 | 0.00 |
| 8 | 0.00 |
| 9 | 0.00 |
| 10 | 0.00 |
| 11 | 0.00 |
| 12 | 0.00 |
| 13 | 0.00 |
| 14 | 0.00 |
| 15 | 0.00 |
| 16 | 0.00 |
| 17 | 0.00 |
| 18 | 0.00 |
| 19 | 0.00 |
| 20 | 0.00 |
| 21 | 0.00 |
| 22 | 0.00 |